PBE-GGA As2Pd7, relaxed; energy = -45.74 eV per cell; space-group type = P-3m1
1.0
-0.1298 2.8022 -0.2748
-1.6456 -1.6493 -1.5863
-20.4721 1.0297 20.1663
Pd As
7 2
direct
0.3333 0.6667 0.2634 Pd
0.0000 0.0000 0.3436 Pd
0.3333 0.6667 0.7366 Pd
0.6667 0.3333 0.4226 Pd
0.6667 0.3333 0.6564 Pd
0.0000 0.0000 0.5774 Pd
0.3333 0.6667 0.5000 Pd
0.6667 0.3333 0.1936 As
0.0000 0.0000 0.8064 As